# BeAg2Pd2 | Alexandria via LeMat-Bulk | PBE | optimized geometry
# Distance to the lowest polymorph of the same formula, eV per formula unit: 1.05
# E_form, kJ/mol of atoms: -7.95
# D(E_F), states/eV/cell: 3.188
# Raw total energy, eV per cell: -40.45
data_BeAg2Pd2
_cell_length_a 5.9193
_cell_length_b 5.9193
_cell_length_c 4.5402
_cell_angle_alpha 90.00
_cell_angle_beta 90.00
_cell_angle_gamma 90.00
_space_group_name_H-M_alt 'P 4/m b m'
_space_group_IT_number 127
_space_group_name_Hall '-P 4 2ab'
loop_
_atom_site_label
_atom_site_type_symbol
_atom_site_fract_x
_atom_site_fract_y
_atom_site_fract_z
Be1 Be 0.0000 0.0000 0.0000
Ag1 Ag 0.1666 0.3334 0.5000
Pd1 Pd 0.1548 0.6548 0.0000